Record 1
This record from the Alexandria database describes Sr3Pt at its PBEsol-relaxed geometry. The functional is meta-GGA SCAN.

Structure (POSCAR):
```
Sr3Pt
1.0
4.0529 0.0000 0.0000
0.0000 7.3714 0.0000
0.0000 0.0000 10.3702
Sr Pt
6 2
direct
0.2500 0.0124 0.1778
0.2500 0.2500 0.5274
0.2500 0.4876 0.1778
0.7500 0.5124 0.8222
0.7500 0.7500 0.4726
0.7500 0.9876 0.8222
0.2500 0.7500 0.6834
0.7500 0.2500 0.3166
```

Values from the calculation:
N(E_F)   5.8 states/eV/cell
Symmetry   Pmmn, No. 59
Energy of formation from the pure elements   -48.7 kJ/mol of atoms



Record 2
This record from the Alexandria database describes SrPt3 at its PBEsol-relaxed geometry. The functional is meta-GGA SCAN.

Structure (POSCAR):
```
SrPt3
1.0
2.9164 0.0000 0.0000
0.0000 4.8188 0.0000
0.0000 0.0000 5.0811
Sr Pt
1 3
direct
0.0000 0.0000 0.0000
0.0000 0.5000 0.5983
0.5000 0.0000 0.5096
0.5000 0.5000 0.1430
```

Values from the calculation:
N(E_F)   2.8 states/eV/cell
Symmetry   Pmm2, No. 25
Energy of formation from the pure elements   -21.2 kJ/mol of atoms



Record 3
This record from the Alexandria database describes Sr3Pt at its PBEsol-relaxed geometry. The functional is meta-GGA SCAN.

Structure (POSCAR):
```
Sr3Pt
1.0
3.0239 -6.5631 0.0000
3.0239 6.5631 0.0000
0.0000 0.0000 4.2926
Sr Pt
3 1
direct
0.0000 0.0000 0.0000
0.3491 0.6509 0.5000
0.6509 0.3491 0.5000
0.5000 0.5000 0.0000
```

Values from the calculation:
N(E_F)   2.7 states/eV/cell
Symmetry   Cmmm, No. 65
Energy of formation from the pure elements   -53.4 kJ/mol of atoms